[1]
Material: UGeS4
Method: DFT, PBE
State: optimized geometry

Cell: 8.469 8.469 8.453 Å, 106.49 106.49 36.95°
Sites, in units of the cell vectors:
U (0.205, 0.205, 0.300)
U (0.795, 0.795, 0.700)
Ge (0.116, 0.116, 0.675)
Ge (0.884, 0.884, 0.325)
S (0.063, 0.063, 0.363)
S (0.133, 0.133, 0.011)
S (0.272, 0.272, 0.643)
S (0.358, 0.358, 0.289)
S (0.642, 0.642, 0.711)
S (0.728, 0.728, 0.357)
S (0.867, 0.867, 0.989)
S (0.937, 0.937, 0.637)

Summary:
The calculation puts the raw formation energy at -0.66 eV per atom.



[2]
Material: NiGePt3
Method: DFT, PBE
State: optimized geometry

Cell: 5.477 3.913 13.830 Å, 90.00 90.00 90.00°
Sites, in units of the cell vectors:
Ni (0.125, 0.250, 0.041)
Ni (0.375, 0.750, 0.541)
Ni (0.625, 0.250, 0.459)
Ni (0.875, 0.750, 0.959)
Ge (0.123, 0.250, 0.626)
Ge (0.377, 0.750, 0.126)
Ge (0.623, 0.250, 0.874)
Ge (0.877, 0.750, 0.374)
Pt (0.081, 0.250, 0.853)
Pt (0.134, 0.250, 0.439)
Pt (0.243, 0.250, 0.229)
Pt (0.257, 0.750, 0.729)
Pt (0.366, 0.750, 0.939)
Pt (0.419, 0.750, 0.353)
Pt (0.581, 0.250, 0.647)
Pt (0.634, 0.250, 0.061)
Pt (0.743, 0.250, 0.271)
Pt (0.757, 0.750, 0.771)
Pt (0.866, 0.750, 0.561)
Pt (0.919, 0.750, 0.147)

Summary:
Its formation energy from the elements is -260 meV per atom.



[3]
Material: SrNdCdGa
Method: DFT, PBE
State: optimized geometry

Cell: 5.475 5.475 5.475 Å, 60.00 60.00 60.00°
Sites, in units of the cell vectors:
Sr (0.000, 0.000, 0.000)
Nd (0.500, 0.500, 0.500)
Cd (0.750, 0.750, 0.750)
Ga (0.250, 0.250, 0.250)

Summary:
Its formation energy from the elements is -360 meV per atom.



[4]
Material: MgPt2Pb
Method: DFT, PBE
State: optimized geometry

Cell: 5.174 5.174 4.373 Å, 108.34 108.34 42.22°
Sites, in units of the cell vectors:
Mg (0.000, 0.000, 0.000)
Pt (0.260, 0.260, 0.846)
Pt (0.506, 0.506, 0.503)
Pb (0.764, 0.764, 0.336)

Summary:
Its formation energy from the elements is -369 meV per atom.



[5]
Material: Li2MoOs
Method: DFT, PBE
State: optimized geometry

Cell: 5.235 5.235 2.525 Å, 90.00 90.00 122.40°
Sites, in units of the cell vectors:
Li (0.000, 0.500, 0.000)
Li (0.500, 0.000, 0.000)
Mo (0.000, 0.000, 0.500)
Os (0.500, 0.500, 0.500)

Summary:
Its formation energy from the elements is 350 meV per atom.



[6]
Material: Ac2MnSb4Ir3
Method: DFT, PBE
State: optimized geometry

Cell: 4.646 4.646 10.753 Å, 90.00 90.00 90.00°
Sites, in units of the cell vectors:
Ac (0.000, 0.500, 0.249)
Ac (0.500, 0.000, 0.751)
Mn (0.500, 0.500, 0.000)
Sb (0.000, 0.000, 0.500)
Sb (0.000, 0.500, 0.868)
Sb (0.500, 0.000, 0.132)
Sb (0.500, 0.500, 0.500)
Ir (0.000, 0.000, 0.000)
Ir (0.000, 0.500, 0.620)
Ir (0.500, 0.000, 0.380)

Summary:
The calculation puts the raw formation energy at -0.61 eV per atom.



[7]
Material: Pr6Sm3Er2In
Method: DFT, PBE
State: optimized geometry

Cell: 6.294 6.294 11.898 Å, 95.17 95.17 120.25°
Sites, in units of the cell vectors:
Pr (0.080, 0.407, 0.243)
Pr (0.246, 0.246, 0.754)
Pr (0.407, 0.080, 0.243)
Pr (0.593, 0.920, 0.757)
Pr (0.754, 0.754, 0.246)
Pr (0.920, 0.593, 0.757)
Sm (0.169, 0.831, 0.500)
Sm (0.500, 0.500, 0.500)
Sm (0.831, 0.169, 0.500)
Er (0.334, 0.666, 0.000)
Er (0.666, 0.334, 0.000)
In (0.000, 0.000, 0.000)

Summary:
Its formation energy from the elements is -27 meV per atom.



[8]
Material: Pa4CrGe8
Method: DFT, PBE
State: optimized geometry

Cell: 4.081 4.095 15.983 Å, 90.00 90.00 90.00°
Sites, in units of the cell vectors:
Pa (0.000, 0.000, 0.000)
Pa (0.000, 0.500, 0.485)
Pa (0.500, 0.000, 0.778)
Pa (0.500, 0.500, 0.281)
Cr (0.000, 0.500, 0.704)
Ge (0.000, 0.000, 0.325)
Ge (0.000, 0.000, 0.620)
Ge (0.000, 0.500, 0.141)
Ge (0.000, 0.500, 0.851)
Ge (0.500, 0.000, 0.140)
Ge (0.500, 0.000, 0.440)
Ge (0.500, 0.500, 0.620)
Ge (0.500, 0.500, 0.953)

Summary:
Its formation energy from the elements is -373 meV per atom.



[9]
Material: CeAlIr
Method: DFT, PBE
State: optimized geometry

Cell: 7.031 4.228 11.994 Å, 90.00 90.51 90.00°
Sites, in units of the cell vectors:
Ce (0.032, 0.250, 0.374)
Ce (0.157, 0.250, 0.081)
Ce (0.467, 0.750, 0.710)
Ce (0.533, 0.250, 0.290)
Ce (0.843, 0.750, 0.919)
Ce (0.968, 0.750, 0.626)
Al (0.138, 0.250, 0.799)
Al (0.362, 0.750, 0.458)
Al (0.498, 0.750, 0.083)
Al (0.502, 0.250, 0.917)
Al (0.638, 0.250, 0.542)
Al (0.862, 0.750, 0.201)
Ir (0.239, 0.750, 0.245)
Ir (0.265, 0.250, 0.576)
Ir (0.271, 0.750, 0.907)
Ir (0.729, 0.250, 0.093)
Ir (0.735, 0.750, 0.424)
Ir (0.761, 0.250, 0.755)

Summary:
Its formation energy from the elements is -888 meV per atom.



[10]
Material: Ho12Ir3Ru5
Method: DFT, PBE
State: optimized geometry

Cell: 13.943 13.943 13.943 Å, 109.47 109.47 109.47°
Sites, in units of the cell vectors:
Ho (0.044, 0.219, 0.127)
Ho (0.044, 0.325, 0.917)
Ho (0.083, 0.627, 0.408)
Ho (0.083, 0.956, 0.675)
Ho (0.092, 0.719, 0.675)
Ho (0.092, 0.873, 0.417)
Ho (0.127, 0.044, 0.219)
Ho (0.127, 0.583, 0.908)
Ho (0.175, 0.219, 0.592)
Ho (0.175, 0.456, 0.583)
Ho (0.219, 0.127, 0.044)
Ho (0.219, 0.592, 0.175)
Ho (0.281, 0.325, 0.908)
Ho (0.281, 0.456, 0.373)
Ho (0.325, 0.908, 0.281)
Ho (0.325, 0.917, 0.044)
Ho (0.373, 0.281, 0.456)
Ho (0.373, 0.592, 0.917)
Ho (0.408, 0.083, 0.627)
Ho (0.408, 0.825, 0.781)
Ho (0.417, 0.092, 0.873)
Ho (0.417, 0.825, 0.544)
Ho (0.456, 0.373, 0.281)
Ho (0.456, 0.583, 0.175)
Ho (0.544, 0.417, 0.825)
Ho (0.544, 0.627, 0.719)
Ho (0.583, 0.175, 0.456)
Ho (0.583, 0.908, 0.127)
Ho (0.592, 0.175, 0.219)
Ho (0.592, 0.917, 0.373)
Ho (0.627, 0.408, 0.083)
Ho (0.627, 0.719, 0.544)
Ho (0.675, 0.083, 0.956)
Ho (0.675, 0.092, 0.719)
Ho (0.719, 0.544, 0.627)
Ho (0.719, 0.675, 0.092)
Ho (0.781, 0.408, 0.825)
Ho (0.781, 0.873, 0.956)
Ho (0.825, 0.544, 0.417)
Ho (0.825, 0.781, 0.408)
Ho (0.873, 0.417, 0.092)
Ho (0.873, 0.956, 0.781)
Ho (0.908, 0.127, 0.583)
Ho (0.908, 0.281, 0.325)
Ho (0.917, 0.044, 0.325)
Ho (0.917, 0.373, 0.592)
Ho (0.956, 0.675, 0.083)
Ho (0.956, 0.781, 0.873)
Ir (0.125, 0.250, 0.375)
Ir (0.125, 0.375, 0.750)
Ir (0.250, 0.375, 0.125)
Ir (0.250, 0.875, 0.625)
Ir (0.375, 0.125, 0.250)
Ir (0.375, 0.750, 0.125)
Ir (0.625, 0.250, 0.875)
Ir (0.625, 0.875, 0.750)
Ir (0.750, 0.125, 0.375)
Ir (0.750, 0.625, 0.875)
Ir (0.875, 0.625, 0.250)
Ir (0.875, 0.750, 0.625)
Ru (0.000, 0.000, 0.000)
Ru (0.000, 0.000, 0.500)
Ru (0.000, 0.500, 0.000)
Ru (0.000, 0.500, 0.500)
Ru (0.125, 0.750, 0.875)
Ru (0.125, 0.875, 0.250)
Ru (0.250, 0.125, 0.875)
Ru (0.250, 0.625, 0.375)
Ru (0.375, 0.250, 0.625)
Ru (0.375, 0.625, 0.750)
Ru (0.500, 0.000, 0.000)
Ru (0.500, 0.000, 0.500)
Ru (0.500, 0.500, 0.000)
Ru (0.500, 0.500, 0.500)
Ru (0.625, 0.375, 0.250)
Ru (0.625, 0.750, 0.375)
Ru (0.750, 0.375, 0.625)
Ru (0.750, 0.875, 0.125)
Ru (0.875, 0.125, 0.750)
Ru (0.875, 0.250, 0.125)

Summary:
Its formation energy from the elements is -23 meV per atom.



[11]
Material: AgPd2Br8
Method: DFT, PBE
State: optimized geometry

Cell: 7.948 7.948 7.677 Å, 115.43 115.43 65.71°
Sites, in units of the cell vectors:
Ag (0.000, 0.000, 0.000)
Pd (0.118, 0.118, 0.592)
Pd (0.882, 0.882, 0.408)
Br (0.106, 0.703, 0.650)
Br (0.183, 0.183, 0.966)
Br (0.297, 0.894, 0.350)
Br (0.348, 0.348, 0.768)
Br (0.652, 0.652, 0.232)
Br (0.703, 0.106, 0.650)
Br (0.817, 0.817, 0.034)
Br (0.894, 0.297, 0.350)

Summary:
The calculation puts the raw formation energy at -0.06 eV per atom.



[12]
Material: Rb2PmIr3O12
Method: DFT, PBE
State: optimized geometry

Cell: 7.697 7.697 7.697 Å, 56.90 56.90 56.90°
Sites, in units of the cell vectors:
Rb (0.109, 0.109, 0.109)
Rb (0.891, 0.891, 0.891)
Pm (0.500, 0.500, 0.500)
Ir (0.000, 0.500, 0.500)
Ir (0.500, 0.000, 0.500)
Ir (0.500, 0.500, 0.000)
O (0.133, 0.579, 0.579)
O (0.191, 0.191, 0.588)
O (0.191, 0.588, 0.191)
O (0.412, 0.809, 0.809)
O (0.421, 0.421, 0.867)
O (0.421, 0.867, 0.421)
O (0.579, 0.133, 0.579)
O (0.579, 0.579, 0.133)
O (0.588, 0.191, 0.191)
O (0.809, 0.412, 0.809)
O (0.809, 0.809, 0.412)
O (0.867, 0.421, 0.421)

Summary:
The calculation puts the raw formation energy at -1.16 eV per atom.



Copy entry 9 word for word.
Material: CeAlIr
Method: DFT, PBE
State: optimized geometry

Cell: 7.031 4.228 11.994 Å, 90.00 90.51 90.00°
Sites, in units of the cell vectors:
Ce (0.032, 0.250, 0.374)
Ce (0.157, 0.250, 0.081)
Ce (0.467, 0.750, 0.710)
Ce (0.533, 0.250, 0.290)
Ce (0.843, 0.750, 0.919)
Ce (0.968, 0.750, 0.626)
Al (0.138, 0.250, 0.799)
Al (0.362, 0.750, 0.458)
Al (0.498, 0.750, 0.083)
Al (0.502, 0.250, 0.917)
Al (0.638, 0.250, 0.542)
Al (0.862, 0.750, 0.201)
Ir (0.239, 0.750, 0.245)
Ir (0.265, 0.250, 0.576)
Ir (0.271, 0.750, 0.907)
Ir (0.729, 0.250, 0.093)
Ir (0.735, 0.750, 0.424)
Ir (0.761, 0.250, 0.755)

Summary:
Its formation energy from the elements is -888 meV per atom.